## SrPm3Al8 (GGA-PBE)

Data for a relaxed SrPm3Al8 crystal.

POSCAR file:
```
SrPm3Al8
1.0
5.709 0.000 0.000
-2.854 4.944 0.000
0.000 0.000 9.308
Sr Pm Al
1 3 8
Direct
0.000 0.000 0.567 Sr
0.667 0.333 0.434 Pm
0.667 0.333 0.070 Pm
0.000 0.000 0.931 Pm
0.333 0.667 0.501 Al
0.333 0.667 0.999 Al
0.505 0.010 0.755 Al
0.505 0.495 0.755 Al
0.990 0.495 0.755 Al
0.162 0.325 0.245 Al
0.162 0.838 0.245 Al
0.675 0.838 0.245 Al
```

## Properties
The value obtained for the distance to the lowest polymorph of the same formula is 13.2 meV/atom. For the electronic total energy, the calculation gives -0.3120 Ry/atom. For the total magnetization, the calculation gives 0.0 μB/f.u.